Here is crystalline AcYV2O8 at its relaxed geometry from Alexandria via LeMat-Bulk. Energies are from PBE with a Hubbard U.

Properties
- E_tot: -8.09 eV per atom
- SG: P-3m1 (164)
- Total magnetic moment: 0.00 μB per atom

The structure in POSCAR format:
```
AcYV2O8
1.0
5.723 0.000 0.000
-2.861 4.956 0.000
0.000 0.000 7.277
Ac Y V O
1 1 2 8
direct
0.000 0.000 0.000
0.000 0.000 0.500
0.667 0.333 0.213
0.333 0.667 0.787
0.333 0.667 0.018
0.327 0.164 0.283
0.836 0.164 0.283
0.667 0.333 0.982
0.164 0.836 0.717
0.673 0.836 0.717
0.164 0.327 0.717
0.836 0.673 0.283
```